# 1
A relaxed structure of SrLaB. Source: the Alexandria database, functional PBE.

The structure in POSCAR format:
```
SrLaB
1.0
14.467 0.000 0.000
0.000 6.987 0.000
0.000 0.000 3.483
La Sr B
4 4 4
Direct
0.591 0.750 0.000
0.409 0.250 0.000
0.091 0.750 0.500
0.909 0.250 0.500
0.135 0.250 0.501
0.865 0.750 0.499
0.635 0.250 0.999
0.365 0.750 0.001
0.000 0.500 0.000
0.000 0.000 0.000
0.500 0.500 0.500
0.500 0.000 0.500
```

Properties
Excess energy over the best structure of this formula in the dataset: 341 meV per atom
Formation enthalpy at 0 K: 34.8 kJ per mole of atoms

---

# 2
A relaxed structure of CdBW2. Source: the Alexandria database, functional PBE.

The structure in POSCAR format:
```
CdBW2
1.0
-3.840 -1.205 -1.653
-2.970 3.011 -1.022
-0.925 0.816 -4.173
W Cd B
2 1 1
Direct
0.750 0.750 0.750
0.250 0.250 0.250
0.500 0.500 0.500
0.000 0.000 0.000
```

Properties
Excess energy over the best structure of this formula in the dataset: 0 meV per atom
Formation enthalpy at 0 K: 123.4 kJ per mole of atoms

---

# 3
A relaxed structure of Nd3Dy4Al. Source: the Alexandria database, functional PBE.

The structure in POSCAR format:
```
Nd3Dy4Al
1.0
-1.712 2.895 1.245
-1.134 -1.888 2.830
15.794 5.140 9.759
Dy Nd Al
4 3 1
Direct
0.000 0.000 0.634
0.000 0.000 0.097
0.000 0.000 0.903
0.000 0.000 0.366
0.500 0.500 0.500
0.500 0.500 0.768
0.500 0.500 0.232
0.500 0.500 0.000
```

Properties
Formation enthalpy at 0 K: -8.2 kJ per mole of atoms

---

# 4
A relaxed structure of As4IrPt. Source: the Alexandria database, functional PBE.

The structure in POSCAR format:
```
As4IrPt
1.0
0.000 3.778 3.778
3.778 0.000 3.778
3.778 3.778 0.000
As Pt Ir
4 1 1
Direct
0.625 0.625 0.125
0.125 0.625 0.625
0.625 0.625 0.625
0.625 0.125 0.625
0.000 0.000 0.000
0.250 0.250 0.250
```

Properties
Formation enthalpy at 0 K: 81.9 kJ per mole of atoms

---

# 5
A relaxed structure of Na2Sn2Bi. Source: the Alexandria database, functional PBE.

The structure in POSCAR format:
```
Na2Sn2Bi
1.0
8.938 0.000 0.000
0.000 8.938 0.000
0.000 0.000 3.510
Bi Sn Na
2 4 4
Direct
0.000 0.000 0.000
0.500 0.500 0.000
0.118 0.382 0.000
0.382 0.882 0.000
0.618 0.118 0.000
0.882 0.618 0.000
0.819 0.319 0.500
0.681 0.819 0.500
0.181 0.681 0.500
0.319 0.181 0.500
```

Properties
Excess energy over the best structure of this formula in the dataset: 99 meV per atom
Formation enthalpy at 0 K: -9.4 kJ per mole of atoms

---

# 6
A relaxed structure of Tm3AlCd3. Source: the Alexandria database, functional PBE.

The structure in POSCAR format:
```
Tm3AlCd3
1.0
4.671 0.000 -1.019
-0.173 3.408 -0.792
-0.147 0.641 10.541
Cd Tm Al
3 3 1
Direct
0.858 0.358 0.716
0.566 0.566 0.132
0.144 0.644 0.289
0.996 0.996 0.992
0.702 0.202 0.403
0.302 0.802 0.604
0.432 0.432 0.864
```

Properties
Formation enthalpy at 0 K: -27.8 kJ per mole of atoms

---

| no. | density of states at the Fermi level (states/eV per atom) | electronic total energy (eV/atom) | total magnetization (Bohr magnetons per cell) |
| --- | --- | --- | --- |
| 1 | 1.058 | -4.0679 | 0.0 |
| 2 | 1.029 | -7.0957 | 0.0 |
| 3 | 1.161 | -4.6418 | 0.0 |
| 4 | 1.047 | -4.7347 | 0.0 |
| 5 | 0.589 | -3.0024 | 0.0 |
| 6 | 0.642 | -3.1317 | 0.0 |